1.
A plane-wave DFT calculation with GGA-PBE was carried out for crystalline TlGaBr4 at its relaxed geometry.

D(E_F)   0.00 states/eV/cell
V   37.78 Å³/atom
Total magnetization   0.00 μB/f.u.
E_form (uncorrected)   -0.8866 eV/atom
Final energy   -17.40 eV per formula unit

a = 12.774 Å, b = 11.538 Å, c = 13.121 Å
α = 90.00°, β = 110.31°, γ = 90.00°
Space group P2_1/c (No. 14)
Symmetry-distinct sites (fractional):
Tl  0.181  0.130  0.123 [4 per cell]
Tl  0.303  0.657  0.978 [4 per cell]
Ga  0.017  0.137  0.787 [4 per cell]
Ga  0.497  0.581  0.782 [4 per cell]
Br  0.005  0.625  0.899 [4 per cell]
Br  0.080  0.539  0.383 [4 per cell]
Br  0.149  0.220  0.375 [4 per cell]
Br  0.161  0.674  0.701 [4 per cell]
Br  0.311  0.044  0.673 [4 per cell]
Br  0.403  0.579  0.591 [4 per cell]
Br  0.415  0.067  0.358 [4 per cell]
Br  0.476  0.740  0.358 [4 per cell]

2.
A plane-wave DFT calculation with GGA-PBE was carried out for crystalline Dy4PtI5 at its relaxed geometry.

D(E_F)   7.89 states/eV/cell
V   35.53 Å³/atom
Total magnetization   0.00 μB/f.u.
E_form (uncorrected)   -1.2275 eV/atom
Final energy   -44.47 eV per formula unit

a = 19.554 Å, b = 4.162 Å, c = 8.940 Å
α = 90.00°, β = 102.37°, γ = 90.00°
Space group C2/m (No. 12)
Symmetry-distinct sites (fractional):
Dy  0.001  0.000  0.205 [4 per cell]
Dy  0.144  0.500  0.074 [4 per cell]
Pt  0.000  0.500  0.000 [2 per cell]
I  0.000  0.500  0.500 [2 per cell]
I  0.168  0.000  0.341 [4 per cell]
I  0.178  0.000  0.833 [4 per cell]

3.
A plane-wave DFT calculation with GGA-PBE was carried out for crystalline Ce2YHf at its relaxed geometry.

D(E_F)   31.76 states/eV/cell
V   26.93 Å³/atom
Total magnetization   0.00 μB/f.u.
Formation enthalpy at 0 K   0.325 eV/atom
Final energy   -26.98 eV per formula unit

a = 3.2078 Å, b = 3.2078 Å, c = 36.2590 Å
α = 90.00°, β = 90.00°, γ = 120.00°
Space group R-3m (No. 166, hexagonal axes)
Symmetry-distinct sites (fractional):
Ce  0.0000  0.0000  0.0808 [6 per cell]
Y  0.0000  0.0000  0.5000 [3 per cell]
Hf  0.0000  0.0000  0.0000 [3 per cell]

4.
A plane-wave DFT calculation with GGA-PBE was carried out for crystalline Rb2MnZnCu at its relaxed geometry.

D(E_F)   6.47 states/eV/cell
V   41.26 Å³/atom
Total magnetization   4.21 μB/f.u.
Formation enthalpy at 0 K   0.794 eV/atom
Final energy   -12.50 eV per formula unit

a = 6.611 Å, b = 6.611 Å, c = 4.720 Å
α = 90.00°, β = 90.00°, γ = 90.00°
Space group P4/mmm (No. 123)
Symmetry-distinct sites (fractional):
Rb  0.000  0.500  0.000 [2 per cell]
Mn  0.000  0.000  0.500 [1 per cell]
Zn  0.500  0.500  0.000 [1 per cell]
Cu  0.500  0.500  0.500 [1 per cell]

5.
A plane-wave DFT calculation with GGA-PBE was carried out for crystalline CdSiP2 at its relaxed geometry.

D(E_F)   1.32 states/eV/cell
V   19.14 Å³/atom
Total magnetization   0.00 μB/f.u.
E_form (uncorrected)   0.1040 eV/atom
Final energy   -16.74 eV per formula unit

a = 3.432 Å, b = 3.432 Å, c = 6.501 Å
α = 90.00°, β = 90.00°, γ = 90.00°
Space group P4mm (No. 99)
Symmetry-distinct sites (fractional):
Cd  0.000  0.000  0.000 [1 per cell]
Si  0.500  0.500  0.522 [1 per cell]
P  0.000  0.000  0.606 [1 per cell]
P  0.500  0.500  0.174 [1 per cell]

6.
A plane-wave DFT calculation with GGA-PBE was carried out for crystalline Mn3AlSb at its relaxed geometry.

D(E_F)   2.56 states/eV/cell
V   24.56 Å³/atom
Total magnetization   11.27 μB/f.u.
E_form (uncorrected)   1.0039 eV/atom
Final energy   -30.35 eV per formula unit

a = 4.971 Å, b = 4.971 Å, c = 4.971 Å
α = 90.00°, β = 90.00°, γ = 90.00°
Space group Pm-3m (No. 221)
Symmetry-distinct sites (fractional):
Mn  0.000  0.000  0.500 [3 per cell]
Al  0.500  0.500  0.500 [1 per cell]
Sb  0.000  0.000  0.000 [1 per cell]